1.
Density functional theory data (PBE-GGA) for a relaxed CaLa14Sc crystal.

Calculated values
Energy relative to the elements = 0.027 eV/atom
Total magnetic moment = 0.000 μB/f.u.
D(E_F) = 49.40 states/eV per cell

Cell lengths 10.4406, 10.5150, 10.5111 Å; angles 90.00, 90.00, 90.00 degrees
Last column: nearest neighbours and their distance in Å.
Space group Amm2 (No. 38)
Symmetry-distinct sites (fractional):
Ca  0.0000  0.0000  0.0000 [2 per cell]  12 La 3.72-3.77
La  0.0000  0.2502  0.2498 [4 per cell]  8 La 3.70-3.71, 2 Ca 3.72, 2 Sc 3.72
La  0.2500  0.0000  0.2586 [4 per cell]  10 La 3.58-3.85, 1 Sc 3.64, 1 Ca 3.77
La  0.2498  0.0000  0.7409 [4 per cell]  10 La 3.59-3.85, 1 Sc 3.64, 1 Ca 3.77
La  0.2498  0.2411  0.4997 [8 per cell]  10 La 3.58-3.85, 1 Sc 3.64, 1 Ca 3.77
La  0.5000  0.0000  0.9995 [2 per cell]  12 La 3.72-3.77
La  0.5000  0.0000  0.5001 [2 per cell]  12 La 3.64-3.72
La  0.5000  0.2498  0.2497 [4 per cell]  12 La 3.70-3.72
Sc  0.0000  0.0000  0.4996 [2 per cell]  12 La 3.64-3.72

---

2.
Density functional theory data (PBE-GGA) for a relaxed AlNiTeN2 crystal.

Calculated values
Formation energy from raw total energies = 1154.6 meV/atom
Total magnetic moment = 2.913 μB/f.u.
D(E_F) = 3.24 states/eV per cell

Cell lengths 3.8257, 3.8257, 5.3973 Å; angles 90.00, 90.00, 90.00 degrees
Last column: nearest neighbours and their distance in Å.
Space group P4/mmm (No. 123)
Symmetry-distinct sites (fractional):
Al  0.0000  0.0000  0.0000 [1 per cell]  4 Te 2.71
Ni  0.5000  0.5000  0.5000 [1 per cell]  4 N 1.91
Te  0.5000  0.5000  0.0000 [1 per cell]  2 Ni 2.70, 4 Al 2.71
N  0.0000  0.5000  0.5000 [2 per cell]  2 Ni 1.91

---

3.
Density functional theory data (PBE-GGA) for a relaxed NaPmInCu crystal.

Calculated values
Energy relative to the elements = -0.136 eV/atom
Total magnetic moment = 0.000 μB/f.u.
D(E_F) = 6.38 states/eV per cell

Cell lengths 7.0265, 7.0265, 7.0265 Å; angles 90.00, 90.00, 90.00 degrees
Last column: nearest neighbours and their distance in Å.
Space group F-43m (No. 216)
Symmetry-distinct sites (fractional):
Na  0.0000  0.0000  0.0000 [4 per cell]  4 In 3.04, 4 Pm 3.04
Pm  0.2500  0.2500  0.7500 [4 per cell]  4 Na 3.04, 4 Cu 3.04
In  0.2500  0.2500  0.2500 [4 per cell]  4 Na 3.04, 4 Cu 3.04
Cu  0.0000  0.0000  0.5000 [4 per cell]  4 In 3.04, 4 Pm 3.04

---

4.
Density functional theory data (PBE-GGA) for a relaxed SrIN2F crystal.

Calculated values
Formation energy from raw total energies = 1063.8 meV/atom
Total magnetic moment = 4.964 μB/f.u.
D(E_F) = 7.13 states/eV per cell

Cell lengths 5.0733, 5.0733, 6.4935 Å; angles 90.00, 90.00, 90.00 degrees
Last column: nearest neighbours and their distance in Å.
Space group P4/mmm (No. 123)
Symmetry-distinct sites (fractional):
Sr  0.0000  0.0000  0.0000 [1 per cell]  4 N 2.54
I  0.0000  0.0000  0.5000 [1 per cell]  2 Sr 3.25, 4 F 3.59
N  0.0000  0.5000  0.0000 [2 per cell]  2 Sr 2.54
F  0.5000  0.5000  0.5000 [1 per cell]  4 I 3.59

---

Which formula does entry 2 have? AlNiTeN2